1.
The following is a PBE-GGA calculation of crystalline KCa2AcSe4 at its relaxed geometry, from Alexandria. Values from VASP.

Cell and atoms, written as Quantum ESPRESSO input:
```
&SYSTEM
  ibrav = 0, nat = 8, ntyp = 4
/
ATOMIC_SPECIES
K 39.10 K.upf
Ca 40.08 Ca.upf
Ac 227.00 Ac.upf
Se 78.96 Se.upf
CELL_PARAMETERS angstrom
-3.089 -1.635 -2.681
-2.693 -4.227 5.681
-5.290 3.986 3.665
ATOMIC_POSITIONS crystal
K 0.000 0.500 0.500
Ca 0.000 0.000 0.000
Ca 0.500 0.000 0.500
Ac 0.500 0.500 0.000
Se 0.000 0.763 0.753
Se 0.000 0.237 0.247
Se 0.500 0.773 0.231
Se 0.500 0.227 0.769
```

**Formation energy from raw total energies**: -14.91 eV per formula unit
**VASP energy**: -4.7568 eV/atom
**Size of the total moment**: 0.0 μB per cell
**ρ**: 4.59 g cm⁻³
**SG**: P2/m (10)



2.
The following is a PBE-GGA calculation of crystalline InH2Br at its relaxed geometry, from Alexandria. Values from VASP.

Cell and atoms, written as Quantum ESPRESSO input:
```
&SYSTEM
  ibrav = 0, nat = 8, ntyp = 3
/
ATOMIC_SPECIES
H 1.01 H.upf
Br 79.90 Br.upf
In 114.82 In.upf
CELL_PARAMETERS angstrom
-1.561 -5.100 2.440
2.497 -2.893 -4.449
4.016 -4.098 1.053
ATOMIC_POSITIONS crystal
H 0.817 0.125 0.250
H 0.933 0.625 0.250
H 0.375 0.183 0.750
H 0.875 0.067 0.750
Br 0.500 0.500 0.000
Br 0.250 0.750 0.500
In 0.000 0.000 0.000
In 0.750 0.250 0.500
```

**Relative energy among the computed polymorphs**: 0.297 eV per atom
**VASP energy**: -2.6787 eV/atom
**Size of the total moment**: 0.0 μB per cell
**ρ**: 4.63 g cm⁻³
**SG**: I-42d (122)



3.
The following is a PBE-GGA calculation of crystalline Cd2Sn2Pb at its relaxed geometry, from Alexandria. Values from VASP.

Cell and atoms, written as Quantum ESPRESSO input:
```
&SYSTEM
  ibrav = 0, nat = 5, ntyp = 3
/
ATOMIC_SPECIES
Pb 207.20 Pb.upf
Sn 118.71 Sn.upf
Cd 112.41 Cd.upf
CELL_PARAMETERS angstrom
-1.452 3.057 2.734
-2.985 1.202 -2.928
-7.057 -2.779 2.821
ATOMIC_POSITIONS crystal
Pb 0.000 0.000 0.000
Sn 0.397 0.397 0.207
Sn 0.603 0.603 0.793
Cd 0.750 0.250 0.500
Cd 0.250 0.750 0.500
```

**Relative energy among the computed polymorphs**: 0.027 eV per atom
**VASP energy**: -2.6103 eV/atom
**Size of the total moment**: 0.0 μB per cell
**ρ**: 7.85 g cm⁻³
**SG**: I4/mmm (139)



4.
The following is a PBE-GGA calculation of crystalline CdTcW4 at its relaxed geometry, from Alexandria. Values from VASP.

Cell and atoms, written as Quantum ESPRESSO input:
```
&SYSTEM
  ibrav = 0, nat = 6, ntyp = 3
/
ATOMIC_SPECIES
Cd 112.41 Cd.upf
Tc 98.00 Tc.upf
W 183.84 W.upf
CELL_PARAMETERS angstrom
3.120 -3.833 -1.856
-2.058 -4.689 -1.284
-0.321 -1.444 -5.068
ATOMIC_POSITIONS crystal
Cd 0.250 0.250 0.250
Tc 0.000 0.000 0.000
W 0.624 0.624 0.127
W 0.624 0.127 0.624
W 0.624 0.624 0.624
W 0.127 0.624 0.624
```

**VASP energy**: -9.9770 eV/atom
**Size of the total moment**: 0.0 μB per cell
**ρ**: 15.09 g cm⁻³
**SG**: F-43m (216)



5.
The following is a PBE-GGA calculation of crystalline ScMn2Te at its relaxed geometry, from Alexandria. Values from VASP.

Cell and atoms, written as Quantum ESPRESSO input:
```
&SYSTEM
  ibrav = 0, nat = 4, ntyp = 3
/
ATOMIC_SPECIES
Mn 54.94 Mn.upf
Sc 44.96 Sc.upf
Te 127.60 Te.upf
CELL_PARAMETERS angstrom
-3.171 -4.150 2.675
-0.592 -5.834 0.213
0.616 -4.496 3.721
ATOMIC_POSITIONS crystal
Mn 0.975 0.975 0.975
Mn 0.286 0.286 0.286
Sc 0.516 0.516 0.516
Te 0.723 0.723 0.723
```

**Formation energy from raw total energies**: -0.35 eV per formula unit
**VASP energy**: -7.0399 eV/atom
**Size of the total moment**: 0.8 μB per cell
**ρ**: 6.44 g cm⁻³
**SG**: R3m (160)



6.
The following is a PBE-GGA calculation of crystalline Cs2AsI4 at its relaxed geometry, from Alexandria. Values from VASP.

Cell and atoms, written as Quantum ESPRESSO input:
```
&SYSTEM
  ibrav = 0, nat = 7, ntyp = 3
/
ATOMIC_SPECIES
Cs 132.91 Cs.upf
I 126.90 I.upf
As 74.92 As.upf
CELL_PARAMETERS angstrom
6.013 0.000 0.000
0.000 6.013 0.000
3.006 3.006 9.459
ATOMIC_POSITIONS crystal
Cs 0.637 0.637 0.726
Cs 0.363 0.363 0.274
I 0.845 0.845 0.309
I 0.155 0.155 0.691
I 0.000 0.500 0.000
I 0.500 0.000 0.000
As 0.000 0.000 0.000
```

**Relative energy among the computed polymorphs**: 0.000 eV per atom
**Formation energy from raw total energies**: -6.27 eV per formula unit
**VASP energy**: -2.6901 eV/atom
**Size of the total moment**: 0.2 μB per cell
**ρ**: 4.12 g cm⁻³
**SG**: I4/mmm (139)



7.
The following is a PBE-GGA calculation of crystalline CoAgMo2 at its relaxed geometry, from Alexandria. Values from VASP.

Cell and atoms, written as Quantum ESPRESSO input:
```
&SYSTEM
  ibrav = 0, nat = 4, ntyp = 3
/
ATOMIC_SPECIES
Ag 107.87 Ag.upf
Co 58.93 Co.upf
Mo 95.94 Mo.upf
CELL_PARAMETERS angstrom
4.752 0.007 0.000
1.460 4.523 0.000
-3.106 -2.265 2.794
ATOMIC_POSITIONS crystal
Ag 0.500 0.500 0.000
Co 0.750 0.250 0.500
Mo 0.000 0.000 0.000
Mo 0.250 0.750 0.500
```

**Relative energy among the computed polymorphs**: 0.212 eV per atom
**VASP energy**: -7.4038 eV/atom
**Size of the total moment**: 1.8 μB per cell
**ρ**: 9.92 g cm⁻³
**SG**: I-4m2 (119)



8.
The following is a PBE-GGA calculation of crystalline CsSnBr6 at its relaxed geometry, from Alexandria. Values from VASP.

Cell and atoms, written as Quantum ESPRESSO input:
```
&SYSTEM
  ibrav = 0, nat = 8, ntyp = 3
/
ATOMIC_SPECIES
Cs 132.91 Cs.upf
Sn 118.71 Sn.upf
Br 79.90 Br.upf
CELL_PARAMETERS angstrom
-6.616 -1.487 -1.105
0.366 -1.453 6.705
-0.440 6.847 0.364
ATOMIC_POSITIONS crystal
Cs 0.000 0.000 0.000
Sn 0.500 0.500 0.500
Br 0.222 0.574 0.222
Br 0.222 0.222 0.574
Br 0.778 0.426 0.778
Br 0.426 0.778 0.778
Br 0.778 0.778 0.426
Br 0.574 0.222 0.222
```

**Formation energy from raw total energies**: -6.16 eV per formula unit
**VASP energy**: -2.6317 eV/atom
**Size of the total moment**: 0.0 μB per cell
**ρ**: 3.92 g cm⁻³
**SG**: R-3m (166)



9.
The following is a PBE-GGA calculation of crystalline ScBi3W at its relaxed geometry, from Alexandria. Values from VASP.

Cell and atoms, written as Quantum ESPRESSO input:
```
&SYSTEM
  ibrav = 0, nat = 5, ntyp = 3
/
ATOMIC_SPECIES
Sc 44.96 Sc.upf
Bi 208.98 Bi.upf
W 183.84 W.upf
CELL_PARAMETERS angstrom
5.419 0.000 0.000
0.000 5.419 0.000
0.000 0.000 5.419
ATOMIC_POSITIONS crystal
Sc 0.500 0.500 0.500
Bi 0.000 0.500 0.000
Bi 0.000 0.000 0.500
Bi 0.500 0.000 0.000
W 0.000 0.000 0.000
```

**Relative energy among the computed polymorphs**: 0.000 eV per atom
**VASP energy**: -5.3386 eV/atom
**Size of the total moment**: 0.0 μB per cell
**ρ**: 8.93 g cm⁻³
**SG**: Pm-3m (221)



10.
The following is a PBE-GGA calculation of crystalline Pm2YHoEr at its relaxed geometry, from Alexandria. Values from VASP.

Cell and atoms, written as Quantum ESPRESSO input:
```
&SYSTEM
  ibrav = 0, nat = 10, ntyp = 4
/
ATOMIC_SPECIES
Pm 145.00 Pm.upf
Y 88.91 Y.upf
Ho 164.93 Ho.upf
Er 167.26 Er.upf
CELL_PARAMETERS angstrom
7.233 0.000 0.000
0.000 8.362 0.000
0.000 -4.181 5.783
ATOMIC_POSITIONS crystal
Pm 0.500 0.306 0.000
Pm 0.000 0.694 0.000
Pm 0.500 0.694 0.000
Pm 0.000 0.306 0.000
Y 0.750 0.742 0.484
Y 0.250 0.258 0.516
Ho 0.250 0.976 0.951
Ho 0.750 0.024 0.049
Er 0.250 0.712 0.424
Er 0.750 0.288 0.576
```

**VASP energy**: -4.6062 eV/atom
**Size of the total moment**: 0.0 μB per cell
**ρ**: 6.75 g cm⁻³
**SG**: Cmcm (63)



11.
The following is a PBE-GGA calculation of crystalline Ho2MgSe4 at its relaxed geometry, from Alexandria. Values from VASP.

Cell and atoms, written as Quantum ESPRESSO input:
```
&SYSTEM
  ibrav = 0, nat = 14, ntyp = 3
/
ATOMIC_SPECIES
Ho 164.93 Ho.upf
Mg 24.30 Mg.upf
Se 78.96 Se.upf
CELL_PARAMETERS angstrom
1.391 -7.873 -1.998
-6.106 -5.514 0.480
-3.265 -3.143 -6.883
ATOMIC_POSITIONS crystal
Ho 0.125 0.625 0.125
Ho 0.125 0.125 0.625
Ho 0.625 0.125 0.125
Ho 0.125 0.125 0.125
Mg 0.750 0.750 0.750
Mg 0.500 0.500 0.500
Se 0.880 0.360 0.880
Se 0.880 0.880 0.360
Se 0.360 0.880 0.880
Se 0.880 0.880 0.880
Se 0.370 0.890 0.370
Se 0.370 0.370 0.890
Se 0.890 0.370 0.370
Se 0.370 0.370 0.370
```

**Relative energy among the computed polymorphs**: 0.000 eV per atom
**Formation energy from raw total energies**: -11.90 eV per formula unit
**VASP energy**: -5.2276 eV/atom
**Size of the total moment**: 0.0 μB per cell
**ρ**: 5.62 g cm⁻³
**SG**: Fd-3m (227)



12.
The following is a PBE-GGA calculation of crystalline ScP3Os at its relaxed geometry, from Alexandria. Values from VASP.

Cell and atoms, written as Quantum ESPRESSO input:
```
&SYSTEM
  ibrav = 0, nat = 5, ntyp = 3
/
ATOMIC_SPECIES
Sc 44.96 Sc.upf
P 30.97 P.upf
Os 190.23 Os.upf
CELL_PARAMETERS angstrom
-1.513 1.172 4.376
-4.475 -1.107 -1.251
0.708 -4.496 1.449
ATOMIC_POSITIONS crystal
Sc 0.000 0.000 0.000
P 0.000 0.500 0.000
P 0.000 0.000 0.500
P 0.500 0.000 0.000
Os 0.500 0.500 0.500
```

**Relative energy among the computed polymorphs**: 1.087 eV per atom
**VASP energy**: -5.2854 eV/atom
**Size of the total moment**: 2.1 μB per cell
**ρ**: 5.00 g cm⁻³
**SG**: Pm-3m (221)